1.
First-principles (PBE) data for a relaxed structure of Ca2ICl2, as listed in Alexandria via LeMat-Bulk.

Structure (CIF):
```
data_Ca2ICl2
_chemical_formula_sum 'Ca8 I4 Cl8'
_cell_length_a 7.6089
_cell_length_b 7.6089
_cell_length_c 12.3533
_cell_angle_alpha 90.00
_cell_angle_beta 90.00
_cell_angle_gamma 90.00
_symmetry_space_group_name_H-M 'I 41 m d'
_symmetry_Int_Tables_number 109
_symmetry_space_group_name_Hall 'I 4bw -2'
loop_
_atom_site_label
_atom_site_type_symbol
_atom_site_fract_x
_atom_site_fract_y
_atom_site_fract_z
Ca1 Ca 0.0000 0.2530 0.0000
I1 I 0.0000 0.0000 0.5511
Cl1 Cl 0.0000 0.2457 0.2247
```

Properties
Total DFT energy (no corrections)   -71.03 eV per cell
N(E_F)   5.939 states/eV/cell

---

2.
First-principles (PBE) data for a relaxed structure of Mg6ZnAg2, as listed in Alexandria via LeMat-Bulk.

Structure (CIF):
```
data_Mg6ZnAg2
_chemical_formula_sum 'Mg6 Zn1 Ag2'
_cell_length_a 4.8020
_cell_length_b 4.8020
_cell_length_c 8.8008
_cell_angle_alpha 90.00
_cell_angle_beta 90.00
_cell_angle_gamma 120.00
_symmetry_space_group_name_H-M 'P -3 m 1'
_symmetry_Int_Tables_number 164
_symmetry_space_group_name_Hall '-P 3 2"'
loop_
_atom_site_label
_atom_site_type_symbol
_atom_site_fract_x
_atom_site_fract_y
_atom_site_fract_z
Mg1 Mg 0.0000 0.0000 0.1880
Mg2 Mg 0.3333 0.6667 0.0578
Mg3 Mg 0.3333 0.6667 0.4043
Zn1 Zn 0.0000 0.0000 0.5000
Ag1 Ag 0.3333 0.6667 0.7380
```

Properties
Total DFT energy (no corrections)   -17.53 eV per cell
Energy relative to the elements   -109 meV per atom
Excess energy over the best structure of this formula in the dataset   0.0 meV/atom
N(E_F)   3.511 states/eV/cell

---

3.
First-principles (PBE) data for a relaxed structure of Ta3RhS6, as listed in Alexandria via LeMat-Bulk.

Structure (CIF):
```
data_Ta3RhS6
_chemical_formula_sum 'Ta12 Rh4 S24'
_cell_length_a 9.7841
_cell_length_b 12.1663
_cell_length_c 5.9885
_cell_angle_alpha 90.00
_cell_angle_beta 90.00
_cell_angle_gamma 90.00
_symmetry_space_group_name_H-M 'C m c 21'
_symmetry_Int_Tables_number 36
loop_
_symmetry_equiv_pos_as_xyz
'x,y,z'
'-x,-y,z+1/2'
'-x,y,z'
'x,-y,z+1/2'
'x+1/2,y+1/2,z'
'-x+1/2,-y+1/2,z+1/2'
'-x+1/2,y+1/2,z'
'x+1/2,-y+1/2,z+1/2'
loop_
_atom_site_label
_atom_site_type_symbol
_atom_site_fract_x
_atom_site_fract_y
_atom_site_fract_z
Ta1 Ta 0.0000 0.1001 0.0000
Ta2 Ta 0.1487 0.3818 0.0923
Rh1 Rh 0.0000 0.2865 0.7370
S1 S 0.0000 0.2602 0.3088
S2 S 0.0000 0.4772 0.8071
S3 S 0.1671 0.0284 0.2937
S4 S 0.1959 0.2109 0.8762
```

Properties
Total DFT energy (no corrections)   -298.71 eV per cell
Excess energy over the best structure of this formula in the dataset   290.2 meV/atom
N(E_F)   3.865 states/eV/cell

---

4.
First-principles (PBE) data for a relaxed structure of SrLiAg6, as listed in Alexandria via LeMat-Bulk.

Structure (CIF):
```
data_SrLiAg6
_chemical_formula_sum 'Sr1 Li1 Ag6'
_cell_length_a 5.5021
_cell_length_b 5.5021
_cell_length_c 5.5021
_cell_angle_alpha 90.00
_cell_angle_beta 90.00
_cell_angle_gamma 90.00
_symmetry_space_group_name_H-M 'P m -3'
_symmetry_Int_Tables_number 200
_symmetry_space_group_name_Hall '-P 2 2 3'
loop_
_atom_site_label
_atom_site_type_symbol
_atom_site_fract_x
_atom_site_fract_y
_atom_site_fract_z
Sr1 Sr 0.0000 0.0000 0.0000
Li1 Li 0.5000 0.5000 0.5000
Ag1 Ag 0.0000 0.2562 0.5000
```

Properties
Total DFT energy (no corrections)   -20.88 eV per cell
Energy relative to the elements   -22 meV per atom
N(E_F)   1.848 states/eV/cell